MgPd2C: relaxed, PBE.

Uncorrected energy ... -41.11 eV for the cell shown
M_tot ... 0.00 μB per formula unit
DOS at the Fermi energy ... 0.59 states/eV/f.u.
Crystal system ... tetragonal
Energy relative to the elements ... 0.162 eV per atom

a = 6.916 Å, b = 6.916 Å, c = 5.487 Å
α = 50.94°, β = 50.94°, γ = 90.00°
Element x y z (fractional)
C 0.500 0.500 0.000
C 0.250 0.750 0.500
Pd 0.249 0.625 0.250
Pd 0.501 0.125 0.250
Pd 0.375 0.499 0.750
Pd 0.875 0.751 0.750
Mg 0.750 0.250 0.500
Mg 0.000 0.000 0.000